# 1
VASP calculation (PBE) on an optimized crystal structure of Sc2InHg4.

N(E_F) = 3.094 states/eV per cell
E above lowest polymorph = 0.0 meV per atom
energy relative to the elements = -0.206 eV per atom
volume = 161.7 Å³ per cell
calculated total energy = -18.049 eV per cell

Geometry as POSCAR:
```
Sc2InHg4
1.0
4.699 -0.171 1.698
1.968 4.271 1.698
0.409 0.251 8.133
Sc In Hg
2 1 4
Direct
0.729 0.729 0.842
0.271 0.271 0.158
0.000 0.000 0.000
0.853 0.853 0.432
0.147 0.147 0.568
0.573 0.573 0.251
0.427 0.427 0.749
```

# 2
VASP calculation (PBE) on an optimized crystal structure of Sc2InHg.

N(E_F) = 4.768 states/eV per cell
energy relative to the elements = -0.226 eV per atom
volume = 92.7 Å³ per cell
calculated total energy = -16.607 eV per cell

Geometry as POSCAR:
```
Sc2InHg
1.0
3.799 0.000 0.000
0.000 3.799 0.000
0.000 0.000 6.423
Hg In Sc
1 1 2
Direct
0.000 0.000 0.485
0.500 0.500 0.761
0.000 0.000 0.992
0.500 0.500 0.261
```

# 3
VASP calculation (PBE) on an optimized crystal structure of Sc2InHg4.

N(E_F) = 7.339 states/eV per cell
E above lowest polymorph = 397.6 meV per atom
energy relative to the elements = 0.192 eV per atom
volume = 215.5 Å³ per cell
calculated total energy = -15.266 eV per cell

Geometry as POSCAR:
```
Sc2InHg4
1.0
-3.978 -0.241 -3.695
2.765 -3.800 -2.729
-3.913 -7.226 0.687
Sc Hg In
2 4 1
Direct
0.600 0.600 0.800
0.400 0.400 0.200
0.795 0.795 0.410
0.205 0.205 0.590
0.000 0.500 0.000
0.500 0.000 0.000
0.000 0.000 0.000
```

# 4
VASP calculation (PBE) on an optimized crystal structure of Sc6In5Hg.

N(E_F) = 8.870 states/eV per cell
energy relative to the elements = -0.427 eV per atom
volume = 268.0 Å³ per cell
calculated total energy = -57.109 eV per cell

Geometry as POSCAR:
```
Sc6In5Hg
1.0
4.351 -0.024 1.450
0.042 8.501 0.014
0.002 -0.012 7.246
Sc Hg In
6 1 5
Direct
0.834 0.751 0.332
0.834 0.249 0.332
0.500 0.247 0.000
0.500 0.753 0.000
0.166 0.751 0.668
0.166 0.249 0.668
0.000 0.000 0.000
0.667 0.500 0.666
0.333 0.000 0.335
0.000 0.500 0.000
0.667 0.000 0.665
0.333 0.500 0.334
```

# 5
VASP calculation (PBE) on an optimized crystal structure of Sc8InHg2.

N(E_F) = 16.322 states/eV per cell
energy relative to the elements = -0.143 eV per atom
volume = 265.3 Å³ per cell
calculated total energy = -55.567 eV per cell

Geometry as POSCAR:
```
Sc8InHg2
1.0
-4.006 2.324 -2.017
1.356 -5.761 -5.432
-2.889 -2.125 7.188
Sc In Hg
8 1 2
Direct
0.883 0.902 0.677
0.883 0.677 0.902
0.298 0.597 0.597
0.500 0.780 0.220
0.500 0.220 0.780
0.702 0.403 0.403
0.117 0.323 0.098
0.117 0.098 0.323
0.500 0.000 0.000
0.000 0.305 0.695
0.000 0.695 0.305
```

# 6
VASP calculation (PBE) on an optimized crystal structure of ScIn6Hg12.

N(E_F) = 7.712 states/eV per cell
energy relative to the elements = -0.025 eV per atom
volume = 498.1 Å³ per cell
calculated total energy = -26.865 eV per cell

Geometry as POSCAR:
```
ScIn6Hg12
1.0
0.061 -6.660 -4.716
5.794 -4.051 4.134
-5.565 -2.743 4.248
Sc In Hg
1 6 12
Direct
0.000 0.000 0.000
0.032 0.264 0.707
0.682 0.249 0.901
0.239 0.856 0.677
0.968 0.736 0.293
0.318 0.751 0.099
0.761 0.144 0.323
0.463 0.198 0.574
0.223 0.507 0.506
0.466 0.413 0.205
0.537 0.802 0.426
0.777 0.493 0.494
0.534 0.587 0.795
0.823 0.926 0.648
0.337 0.129 0.965
0.007 0.371 0.141
0.177 0.074 0.352
0.663 0.871 0.035
0.993 0.629 0.859
```

# 7
VASP calculation (PBE) on an optimized crystal structure of Sc2InHg.

N(E_F) = 3.065 states/eV per cell
energy relative to the elements = 0.008 eV per atom
volume = 103.0 Å³ per cell
calculated total energy = -15.672 eV per cell

Geometry as POSCAR:
```
Sc2InHg
1.0
1.924 0.000 10.710
-0.962 1.666 10.710
-0.962 -1.666 10.710
Sc Hg In
2 1 1
Direct
0.906 0.906 0.906
0.094 0.094 0.094
0.500 0.500 0.500
0.000 0.000 0.000
```

# 8
VASP calculation (PBE) on an optimized crystal structure of ScIn3Hg12.

N(E_F) = 6.953 states/eV per cell
energy relative to the elements = -0.040 eV per atom
volume = 407.7 Å³ per cell
calculated total energy = -18.803 eV per cell

Geometry as POSCAR:
```
ScIn3Hg12
1.0
-3.248 -1.906 -2.742
-0.813 -2.888 2.970
-14.314 12.523 8.255
Sc In Hg
1 3 12
Direct
0.000 0.000 0.000
0.000 0.000 0.235
0.000 0.000 0.500
0.000 0.000 0.765
0.500 0.500 0.000
0.500 0.500 0.240
0.500 0.500 0.500
0.500 0.500 0.760
0.500 0.000 0.113
0.500 0.000 0.369
0.500 0.000 0.631
0.500 0.000 0.887
0.000 0.500 0.111
0.000 0.500 0.366
0.000 0.500 0.634
0.000 0.500 0.889
```

What is the energy relative to the elements in the third record? 0.192 eV per atom

What is the energy relative to the elements in the fifth record? -0.143 eV per atom

What did the first record say?
VASP calculation (PBE) on an optimized crystal structure of Sc2InHg4.

N(E_F) = 3.094 states/eV per cell
E above lowest polymorph = 0.0 meV per atom
energy relative to the elements = -0.206 eV per atom
volume = 161.7 Å³ per cell
calculated total energy = -18.049 eV per cell

Geometry as POSCAR:
```
Sc2InHg4
1.0
4.699 -0.171 1.698
1.968 4.271 1.698
0.409 0.251 8.133
Sc In Hg
2 1 4
Direct
0.729 0.729 0.842
0.271 0.271 0.158
0.000 0.000 0.000
0.853 0.853 0.432
0.147 0.147 0.568
0.573 0.573 0.251
0.427 0.427 0.749
```